The following is a PBE calculation of crystalline Zr2BeCoRu at its relaxed geometry, from Alexandria.

Structure (POSCAR):
```
Zr2BeCoRu
1.0
4.690 0.000 0.000
0.000 3.893 0.000
0.000 0.000 4.690
Zr Co Be Ru
2 1 1 1
direct
0.500 0.000 0.000 Zr
0.000 0.000 0.500 Zr
0.500 0.500 0.500 Co
0.000 0.000 0.000 Be
0.000 0.500 0.000 Ru
```

Values from the calculation:
Its space group is P4/mmm (123). The density of states at the Fermi level comes out at 1.08 states/eV/atom. The total DFT energy (no corrections) comes out at -7.076 eV/atom. As for the magnetization: 0.00 μB/cell. The energy relative to the elements is 365 meV/atom.